Version P
VASP calculation (SCAN) on CdRe2Br at its PBEsol-relaxed geometry.

Results
N(E_F)	4.20	states/eV per cell

Lattice parameters (Å, degrees): 2.7996 2.7996 8.4789 90.00 90.00 90.00
Fractional positions:
Cd: 0.0000 0.0000 0.0000
Re: 0.5000 0.5000 0.2578
Re: 0.5000 0.5000 0.7422
Br: 0.0000 0.0000 0.5000

Version Q
VASP calculation (SCAN) on CdRe2Br at its PBEsol-relaxed geometry.

Results
N(E_F)	3.04	states/eV per cell

Lattice parameters (Å, degrees): 5.8180 5.8180 3.1351 105.45 105.45 125.19
Fractional positions:
Cd: 0.0000 0.0000 0.0000
Re: 0.0000 0.5000 0.5000
Re: 0.5000 0.0000 0.5000
Br: 0.5000 0.5000 0.0000

version Q comes first in stability; the runner-up is 296 meV/atom higher.

Version P
VASP calculation (SCAN) on Cd2RhBr at its PBEsol-relaxed geometry.

Results
N(E_F)	1.62	states/eV per cell

Lattice parameters (Å, degrees): 6.7274 6.7274 6.7274 154.21 142.67 45.93
Fractional positions:
Cd: 0.1921 0.1921 0.0000
Cd: 0.8079 0.8079 0.0000
Rh: 0.0000 0.5000 0.5000
Br: 0.5000 0.0000 0.5000

Version Q
VASP calculation (SCAN) on Cd2RhBr at its PBEsol-relaxed geometry.

Results
N(E_F)	1.31	states/eV per cell

Lattice parameters (Å, degrees): 5.3636 5.3636 5.3636 135.88 135.88 64.16
Fractional positions:
Cd: 0.2500 0.7500 0.5000
Cd: 0.7500 0.2500 0.5000
Rh: 0.0000 0.0000 0.0000
Br: 0.5000 0.5000 0.0000

version P comes first in stability; the runner-up is 167 meV/atom higher.

Version P
VASP calculation (SCAN) on CdS2Br at its PBEsol-relaxed geometry.

Results
N(E_F)	3.76	states/eV per cell

Lattice parameters (Å, degrees): 8.2422 8.2422 8.2422 142.86 142.86 53.54
Fractional positions:
Cd: 0.0000 0.0000 0.0000
Cd: 0.7500 0.2500 0.5000
S: 0.1193 0.6250 0.9943
S: 0.3750 0.3693 0.4943
S: 0.6307 0.1250 0.0057
S: 0.8750 0.8807 0.5057
Br: 0.2500 0.7500 0.5000
Br: 0.5000 0.5000 0.0000

Version Q
VASP calculation (SCAN) on CdS2Br at its PBEsol-relaxed geometry.

Results
N(E_F)	3.85	states/eV per cell

Lattice parameters (Å, degrees): 4.7545 4.7545 4.7545 60.00 60.00 60.00
Fractional positions:
Cd: 0.0000 0.0000 0.0000
S: 0.2500 0.2500 0.2500
S: 0.7500 0.7500 0.7500
Br: 0.5000 0.5000 0.5000

version P comes first in stability; the runner-up is 285 meV/atom higher.

Version P
VASP calculation (SCAN) on CdSb2Br at its PBEsol-relaxed geometry.

Results
N(E_F)	1.29	states/eV per cell

Lattice parameters (Å, degrees): 6.8546 6.8546 6.8546 150.81 137.89 52.06
Fractional positions:
Cd: 0.0000 0.0000 0.0000
Sb: 0.2046 0.7046 0.5000
Sb: 0.7954 0.2954 0.5000
Br: 0.5000 0.5000 0.0000

Version Q
VASP calculation (SCAN) on CdSb2Br at its PBEsol-relaxed geometry.

Results
N(E_F)	2.05	states/eV per cell

Lattice parameters (Å, degrees): 8.5312 8.5312 8.5312 27.51 27.51 27.51
Fractional positions:
Cd: 0.0000 0.0000 0.0000
Sb: 0.2518 0.2518 0.2518
Sb: 0.5161 0.5161 0.5161
Br: 0.7312 0.7312 0.7312

Version R
VASP calculation (SCAN) on CdSb2Br at its PBEsol-relaxed geometry.

Results
N(E_F)	1.44	states/eV per cell

Lattice parameters (Å, degrees): 4.5800 4.6732 5.6287 90.00 109.64 90.00
Fractional positions:
Cd: 0.0000 0.0000 0.0000
Sb: 0.1952 0.5000 0.8077
Sb: 0.8048 0.5000 0.1923
Br: 0.5000 0.0000 0.5000

version Q comes first in stability; the runner-up is 100 meV/atom higher.

Version P
VASP calculation (SCAN) on ScCdBr at its PBEsol-relaxed geometry.

Results
N(E_F)	1.57	states/eV per cell

Lattice parameters (Å, degrees): 6.9037 6.9037 6.9037 152.21 152.21 39.70
Fractional positions:
Sc: 0.0000 0.0000 0.0000
Cd: 0.3502 0.3502 0.0000
Br: 0.6189 0.6189 0.0000

Version Q
VASP calculation (SCAN) on ScCdBr at its PBEsol-relaxed geometry.

Results
N(E_F)	1.61	states/eV per cell

Lattice parameters (Å, degrees): 4.7259 4.7259 4.7259 60.00 60.00 60.00
Fractional positions:
Sc: 0.0000 0.0000 0.0000
Cd: 0.5000 0.5000 0.5000
Br: 0.7500 0.7500 0.7500

version P comes first in stability; the runner-up is 678 meV/atom higher.

Version P
VASP calculation (SCAN) on Cd2SeBr at its PBEsol-relaxed geometry.

Results
N(E_F)	1.01	states/eV per cell

Lattice parameters (Å, degrees): 3.8654 3.8654 7.6632 90.00 90.00 116.22
Fractional positions:
Cd: 0.0000 0.0000 0.2281
Cd: 0.0000 0.0000 0.7719
Se: 0.5000 0.5000 0.0000
Br: 0.5000 0.5000 0.5000

Version Q
VASP calculation (SCAN) on Cd2SeBr at its PBEsol-relaxed geometry.

Results
N(E_F)	1.31	states/eV per cell

Lattice parameters (Å, degrees): 3.5575 3.5575 7.1690 90.00 90.00 90.00
Fractional positions:
Cd: 0.0000 0.0000 0.2175
Cd: 0.0000 0.0000 0.7825
Se: 0.5000 0.5000 0.0000
Br: 0.5000 0.5000 0.5000

version P comes first in stability; the runner-up is 96 meV/atom higher.

Version P
VASP calculation (SCAN) on CdTc2Br at its PBEsol-relaxed geometry.

Results
N(E_F)	4.15	states/eV per cell

Lattice parameters (Å, degrees): 3.9019 3.9019 4.4341 90.00 90.00 90.00
Fractional positions:
Cd: 0.0000 0.0000 0.0000
Tc: 0.0000 0.5000 0.5000
Tc: 0.5000 0.0000 0.5000
Br: 0.5000 0.5000 0.0000

Version Q
VASP calculation (SCAN) on CdTc2Br at its PBEsol-relaxed geometry.

Results
N(E_F)	4.27	states/eV per cell

Lattice parameters (Å, degrees): 5.2385 5.2385 5.2385 136.44 136.44 63.30
Fractional positions:
Cd: 0.0000 0.0000 0.0000
Tc: 0.2500 0.7500 0.5000
Tc: 0.7500 0.2500 0.5000
Br: 0.5000 0.5000 0.0000

version P comes first in stability; the runner-up is 11 meV/atom higher.

Version P
VASP calculation (SCAN) on CdTeBr2 at its PBEsol-relaxed geometry.

Results
N(E_F)	3.05	states/eV per cell

Lattice parameters (Å, degrees): 5.2198 5.2198 5.2198 60.00 60.00 60.00
Fractional positions:
Cd: 0.0000 0.0000 0.0000
Te: 0.5000 0.5000 0.5000
Br: 0.2500 0.2500 0.2500
Br: 0.7500 0.7500 0.7500

Version Q
VASP calculation (SCAN) on CdTeBr2 at its PBEsol-relaxed geometry.

Results
N(E_F)	2.27	states/eV per cell

Lattice parameters (Å, degrees): 5.4853 5.4853 3.4423 90.00 90.00 104.69
Fractional positions:
Cd: 0.0000 0.0000 0.0000
Te: 0.5000 0.5000 0.0000
Br: 0.0000 0.5000 0.5000
Br: 0.5000 0.0000 0.5000

version Q comes first in stability; the runner-up is 84 meV/atom higher.